Li3Tm2PaTe6 (PBE, optimized geometry); energy relative to the elements, uncorrected = -106.37 kJ/mol of atoms; space group = C2/m, No. 12; size of the total moment = 1.7 μB per formula unit; total energy = -4.69 eV per atom
1.0
7.4203 -0.0007 0.0003
-3.7090 6.4269 0.0003
-1.2374 -2.1426 7.1071
Li Tm Pa Te
3 2 1 6
direct
0.1663 0.8337 0.5000
0.8337 0.1663 0.5000
0.5000 0.5000 0.5000
0.3334 0.6666 0.0000
0.6666 0.3334 0.0000
0.0000 0.0000 0.0000
0.9143 0.5763 0.7428
0.7478 0.7478 0.2574
0.0857 0.4237 0.2572
0.5763 0.9143 0.7428
0.2522 0.2522 0.7426
0.4237 0.0857 0.2572